Record 1
DFT (PBE) results for a relaxed structure of K2BeSi.

Cell: 6.1334 6.1334 6.1334 Å, 140.82 122.43 71.85°
Fractional coordinates of all 4 atoms:
K 0.0000 0.0000 0.0000
K 0.6763 0.1763 0.5000
Be 0.3515 0.3515 0.0000
Si 0.3049 0.8049 0.5000

Output
As for the energy above the most stable polymorph in this dataset: 0.004 eV/atom. For the uncorrected formation energy, the calculation gives 0.169 eV/atom. The space group is Imm2.

=====

Record 2
DFT (PBE) results for a relaxed structure of Pm6Se5S.

Cell: 7.2307 7.2307 7.2300 Å, 99.55 99.55 120.08°
Fractional coordinates of all 12 atoms:
Pm 0.0786 0.3936 0.7354
Pm 0.2363 0.2363 0.2617
Pm 0.3936 0.0786 0.7354
Pm 0.6064 0.9214 0.2646
Pm 0.7637 0.7637 0.7383
Pm 0.9214 0.6064 0.2646
Se 0.1721 0.8279 0.0000
Se 0.3338 0.6662 0.5000
Se 0.5000 0.5000 0.0000
Se 0.6662 0.3338 0.5000
Se 0.8279 0.1721 0.0000
S 0.0000 0.0000 0.5000

Output
For the uncorrected formation energy, the calculation gives -1.874 eV/atom. The space group is C2/m.

=====

Record 3
DFT (PBE) results for a relaxed structure of KTmOs2O8.

Cell: 5.9536 5.9536 7.5817 Å, 90.00 90.00 120.00°
Fractional coordinates of all 12 atoms:
K 0.0000 0.0000 0.0000
Tm 0.0000 0.0000 0.5000
Os 0.3333 0.6667 0.7632
Os 0.6667 0.3333 0.2368
O 0.1617 0.3347 0.6815
O 0.1730 0.8383 0.6815
O 0.3333 0.6667 0.9964
O 0.3347 0.1730 0.3185
O 0.6653 0.8270 0.6815
O 0.6667 0.3333 0.0036
O 0.8270 0.1617 0.3185
O 0.8383 0.6653 0.3185

Output
For the uncorrected formation energy, the calculation gives -1.556 eV/atom. The space group is P-3.

=====

Record 4
DFT (PBE) results for a relaxed structure of GePN.

Cell: 5.8091 5.8091 3.3149 Å, 90.19 90.19 26.99°
Fractional coordinates of all 3 atoms:
Ge 0.0000 0.0000 0.0000
P 0.1688 0.1688 0.5018
N 0.7499 0.7499 0.5032

Output
As for the energy above the most stable polymorph in this dataset: 0.111 eV/atom. For the uncorrected formation energy, the calculation gives 0.206 eV/atom. The space group is Cm.

=====

Record 5
DFT (PBE) results for a relaxed structure of CuSiNi2.

Cell: 3.9867 3.9867 3.9867 Å, 60.00 60.00 60.00°
Fractional coordinates of all 4 atoms:
Cu 0.0000 0.0000 0.0000
Si 0.2500 0.2500 0.2500
Ni 0.5000 0.5000 0.5000
Ni 0.7500 0.7500 0.7500

Output
For the uncorrected formation energy, the calculation gives -0.228 eV/atom. The space group is F-43m.

=====

Record 6
DFT (PBE) results for a relaxed structure of K2TaSi.

Cell: 12.3791 12.3791 12.3791 Å, 14.09 14.09 14.09°
Fractional coordinates of all 4 atoms:
K 0.2444 0.2444 0.2444
K 0.7556 0.7556 0.7556
Ta 0.0000 0.0000 0.0000
Si 0.5000 0.5000 0.5000

Output
For the uncorrected formation energy, the calculation gives 1.034 eV/atom. The space group is R-3m.

=====

Record 7
DFT (PBE) results for a relaxed structure of AlIr3.

Cell: 4.9340 4.9340 4.9340 Å, 90.00 90.00 90.00°
Fractional coordinates of all 8 atoms:
Al 0.0000 0.0000 0.0000
Al 0.5000 0.5000 0.5000
Ir 0.0000 0.2500 0.5000
Ir 0.0000 0.7500 0.5000
Ir 0.2500 0.5000 0.0000
Ir 0.5000 0.0000 0.2500
Ir 0.5000 0.0000 0.7500
Ir 0.7500 0.5000 0.0000

Output
As for the energy of formation: 16.06 kJ per mole of atoms. The space group is Pm-3n.

=====

Record 8
DFT (PBE) results for a relaxed structure of CeVGa2.

Cell: 2.8195 2.8195 8.7646 Å, 90.00 90.00 90.00°
Fractional coordinates of all 4 atoms:
Ce 0.0000 0.0000 0.0000
V 0.0000 0.0000 0.5000
Ga 0.5000 0.5000 0.2862
Ga 0.5000 0.5000 0.7138

Output
As for the energy of formation: -22.59 kJ per mole of atoms. As for the energy above the most stable polymorph in this dataset: 0.000 eV/atom. The space group is P4/mmm.

=====

Record 9
DFT (PBE) results for a relaxed structure of Sr6CdAu2.

Cell: 9.6399 9.6399 9.6399 Å, 114.44 110.75 103.41°
Fractional coordinates of all 18 atoms:
Sr 0.0495 0.2420 0.8076
Sr 0.1769 0.2865 0.4634
Sr 0.1769 0.7135 0.8904
Sr 0.3382 0.0253 0.6872
Sr 0.3382 0.6510 0.3128
Sr 0.4344 0.2420 0.1924
Sr 0.5656 0.7580 0.8076
Sr 0.6618 0.3490 0.6872
Sr 0.6618 0.9747 0.3128
Sr 0.8231 0.2865 0.1096
Sr 0.8231 0.7135 0.5366
Sr 0.9505 0.7580 0.1924
Cd 0.0000 0.0000 0.0000
Cd 0.5000 0.5000 0.0000
Au 0.1290 0.6290 0.5000
Au 0.3216 0.0000 0.3216
Au 0.6784 0.0000 0.6784
Au 0.8710 0.3710 0.5000

Output
As for the energy of formation: -42.62 kJ per mole of atoms. The space group is Immm.

=====

Record 10
DFT (PBE) results for a relaxed structure of KLaNbGe2.

Cell: 5.3664 5.3664 4.8536 Å, 90.00 90.00 90.00°
Fractional coordinates of all 5 atoms:
K 0.0000 0.0000 0.0000
La 0.5000 0.5000 0.5000
Nb 0.0000 0.0000 0.5000
Ge 0.0000 0.5000 0.0000
Ge 0.5000 0.0000 0.0000

Output
As for the energy of formation: 133.71 kJ per mole of atoms. As for the energy above the most stable polymorph in this dataset: 0.983 eV/atom. The space group is P4/mmm.

=====

Record 11
DFT (PBE) results for a relaxed structure of Sr3YRu.

Cell: 6.0974 6.0974 6.0974 Å, 90.00 90.00 90.00°
Fractional coordinates of all 5 atoms:
Sr 0.0000 0.0000 0.5000
Sr 0.0000 0.5000 0.0000
Sr 0.5000 0.0000 0.0000
Y 0.0000 0.0000 0.0000
Ru 0.5000 0.5000 0.5000

Output
As for the energy of formation: 162.58 kJ per mole of atoms. As for the energy above the most stable polymorph in this dataset: 1.239 eV/atom. The space group is Pm-3m.

=====

Record 12
DFT (PBE) results for a relaxed structure of Cs3Nd2USe6.

Cell: 7.5830 7.5830 8.7846 Å, 98.27 98.27 120.00°
Fractional coordinates of all 12 atoms:
Cs 0.0000 0.0000 0.0000
Cs 0.3313 0.6687 0.0000
Cs 0.6687 0.3313 0.0000
Nd 0.1665 0.8335 0.5000
Nd 0.8335 0.1665 0.5000
U 0.5000 0.5000 0.5000
Se 0.1092 0.4369 0.3104
Se 0.2359 0.2359 0.6904
Se 0.4369 0.1092 0.3104
Se 0.5631 0.8908 0.6896
Se 0.7641 0.7641 0.3096
Se 0.8908 0.5631 0.6896

Output
For the uncorrected formation energy, the calculation gives -1.540 eV/atom. The space group is C2/m.

=====

Record 13
DFT (PBE) results for a relaxed structure of KBeCd.

Cell: 5.9352 4.1898 6.1483 Å, 90.00 93.79 90.00°
Fractional coordinates of all 6 atoms:
K 0.2452 0.2500 0.4913
K 0.7548 0.7500 0.5087
Be 0.0717 0.2500 0.9909
Be 0.9283 0.7500 0.0091
Cd 0.3338 0.7500 0.9939
Cd 0.6662 0.2500 0.0061

Output
As for the energy of formation: 28.47 kJ per mole of atoms. As for the energy above the most stable polymorph in this dataset: 0.037 eV/atom. The space group is P2_1/m.

=====

Record 14
DFT (PBE) results for a relaxed structure of Rb2AgAu3I8.

Cell: 7.8835 7.8835 21.9283 Å, 101.72 101.72 58.36°
Fractional coordinates of all 28 atoms:
Rb 0.1850 0.2271 0.0901
Rb 0.2271 0.1850 0.5901
Rb 0.7729 0.8150 0.4099
Rb 0.8150 0.7729 0.9099
Ag 0.4959 0.5041 0.7500
Ag 0.5041 0.4959 0.2500
Au 0.0778 0.1102 0.8048
Au 0.1102 0.0778 0.3048
Au 0.5000 0.5000 0.0000
Au 0.5000 0.5000 0.5000
Au 0.8898 0.9222 0.6952
Au 0.9222 0.8898 0.1952
I 0.1104 0.5529 0.2454
I 0.1792 0.7253 0.0647
I 0.2253 0.7071 0.6447
I 0.2747 0.8208 0.4353
I 0.2827 0.3339 0.4352
I 0.2929 0.7747 0.8553
I 0.3339 0.2827 0.9352
I 0.4471 0.8896 0.2546
I 0.5529 0.1104 0.7454
I 0.6661 0.7173 0.0648
I 0.7071 0.2253 0.1447
I 0.7173 0.6661 0.5648
I 0.7253 0.1792 0.5647
I 0.7747 0.2929 0.3553
I 0.8208 0.2747 0.9353
I 0.8896 0.4471 0.7546

Output
For the uncorrected formation energy, the calculation gives -0.525 eV/atom. The space group is C2/c.

=====

Record 15
DFT (PBE) results for a relaxed structure of RbTl6Sn6.

Cell: 8.5941 8.5941 8.5941 Å, 135.56 100.19 96.26°
Fractional coordinates of all 13 atoms:
Rb 0.0000 0.0000 0.0000
Tl 0.1934 0.5000 0.6934
Tl 0.3505 0.0000 0.3505
Tl 0.3569 0.3569 0.0000
Tl 0.6431 0.6431 0.0000
Tl 0.6495 0.0000 0.6495
Tl 0.8066 0.5000 0.3066
Sn 0.0000 0.0000 0.5000
Sn 0.0000 0.5000 0.0000
Sn 0.2304 0.7304 0.5000
Sn 0.5000 0.0000 0.0000
Sn 0.5000 0.5000 0.5000
Sn 0.7696 0.2696 0.5000

Output
As for the energy of formation: -0.55 kJ per mole of atoms. The space group is Immm.

=====

Record 16
DFT (PBE) results for a relaxed structure of CaBiS2N.

Cell: 5.2044 5.2044 6.2165 Å, 90.00 90.00 90.00°
Fractional coordinates of all 5 atoms:
Ca 0.0000 0.0000 0.0000
Bi 0.0000 0.0000 0.5000
S 0.0000 0.5000 0.0000
S 0.5000 0.0000 0.0000
N 0.5000 0.5000 0.5000

Output
As for the energy above the most stable polymorph in this dataset: 1.131 eV/atom. For the uncorrected formation energy, the calculation gives 1.209 eV/atom. The space group is P4/mmm.

=====

Record 17
DFT (PBE) results for a relaxed structure of Sr3As2O8.

Cell: 9.9515 12.2229 7.1588 Å, 90.00 96.65 90.00°
Fractional coordinates of all 52 atoms:
Sr 0.0422 0.1243 0.1780
Sr 0.0422 0.3757 0.6780
Sr 0.3043 0.1077 0.6493
Sr 0.3043 0.3923 0.1493
Sr 0.3303 0.6666 0.6238
Sr 0.3303 0.8334 0.1238
Sr 0.6697 0.1666 0.8762
Sr 0.6697 0.3334 0.3762
Sr 0.6957 0.6077 0.8507
Sr 0.6957 0.8923 0.3507
Sr 0.9578 0.6243 0.3220
Sr 0.9578 0.8757 0.8220
As 0.0821 0.6336 0.8965
As 0.0821 0.8664 0.3965
As 0.3970 0.1057 0.1763
As 0.3970 0.3943 0.6763
As 0.6030 0.6057 0.3237
As 0.6030 0.8943 0.8237
As 0.9179 0.1336 0.6035
As 0.9179 0.3664 0.1035
O 0.0683 0.1865 0.5448
O 0.0683 0.3135 0.0448
O 0.0727 0.5747 0.6754
O 0.0727 0.9253 0.1754
O 0.1473 0.5510 0.0761
O 0.1473 0.9490 0.5761
O 0.1823 0.7472 0.8678
O 0.1823 0.7528 0.3678
O 0.2882 0.1733 0.3089
O 0.2882 0.3267 0.8089
O 0.2970 0.0554 0.9823
O 0.2970 0.4446 0.4823
O 0.4656 0.5096 0.7893
O 0.4656 0.9904 0.2893
O 0.4843 0.7029 0.3699
O 0.4843 0.7971 0.8699
O 0.5157 0.2029 0.1301
O 0.5157 0.2971 0.6301
O 0.5344 0.0096 0.7107
O 0.5344 0.4904 0.2107
O 0.7030 0.5554 0.5177
O 0.7030 0.9446 0.0177
O 0.7118 0.6733 0.1911
O 0.7118 0.8267 0.6911
O 0.8177 0.2472 0.6322
O 0.8177 0.2528 0.1322
O 0.8527 0.0510 0.4239
O 0.8527 0.4490 0.9239
O 0.9273 0.0747 0.8246
O 0.9273 0.4253 0.3246
O 0.9317 0.6865 0.9552
O 0.9317 0.8135 0.4552

Output
As for the energy above the most stable polymorph in this dataset: 0.001 eV/atom. For the uncorrected formation energy, the calculation gives -2.272 eV/atom. The space group is P2_1/c.

=====

Record 18
DFT (PBE) results for a relaxed structure of BaMoSe2.

Cell: 8.5011 8.5011 8.5011 Å, 34.66 34.66 34.66°
Fractional coordinates of all 4 atoms:
Ba 0.0000 0.0000 0.0000
Mo 0.5000 0.5000 0.5000
Se 0.3975 0.3975 0.3975
Se 0.6025 0.6025 0.6025

Output
As for the energy above the most stable polymorph in this dataset: 0.545 eV/atom. For the uncorrected formation energy, the calculation gives -0.215 eV/atom. The space group is R-3m.

=====

Record 19
DFT (PBE) results for a relaxed structure of AcTbTlAu.

Cell: 5.4994 5.4994 5.4994 Å, 60.00 60.00 60.00°
Fractional coordinates of all 4 atoms:
Ac 0.0000 0.0000 0.0000
Tb 0.5000 0.5000 0.5000
Tl 0.2500 0.2500 0.2500
Au 0.7500 0.7500 0.7500

Output
As for the energy of formation: -47.92 kJ per mole of atoms. The space group is F-43m.

=====

Record 20
DFT (PBE) results for a relaxed structure of CaPm2In.

Cell: 5.0340 5.0340 4.9044 Å, 90.00 90.00 90.00°
Fractional coordinates of all 4 atoms:
Ca 0.0000 0.0000 0.0000
Pm 0.0000 0.5000 0.5000
Pm 0.5000 0.0000 0.5000
In 0.5000 0.5000 0.0000

Output
As for the energy of formation: -22.41 kJ per mole of atoms. As for the energy above the most stable polymorph in this dataset: 0.000 eV/atom. The space group is P4/mmm.